[1]
NaSeCl4: optimized geometry, PBE.

a = 5.5339 Å, b = 11.1498 Å, c = 7.1819 Å
α = 90.00°, β = 112.44°, γ = 90.00°
Last column: nearest neighbours and their distance in Å.
Positions (direct):
Na  0.0584  0.2500  0.1407  5 Cl 2.72-2.94
Na  0.9416  0.7500  0.8593  5 Cl 2.72-2.94
Se  0.2298  0.7500  0.4309  3 Cl 2.29-2.51
Se  0.7702  0.2500  0.5691  3 Cl 2.29-2.51
Cl  0.1225  0.5909  0.2129  1 Se 2.29
Cl  0.1225  0.9091  0.2129  1 Se 2.29
Cl  0.2607  0.2500  0.5499  1 Na 2.72, 2 Se 2.77
Cl  0.4172  0.7500  0.8094  1 Se 2.51, 2 Na 2.79
Cl  0.5828  0.2500  0.1906  1 Se 2.51, 2 Na 2.79
Cl  0.7393  0.7500  0.4501  1 Na 2.72, 2 Se 2.77
Cl  0.8775  0.0909  0.7871  1 Se 2.29
Cl  0.8775  0.4091  0.7871  1 Se 2.29

## Properties
density of states at the Fermi level	2.93	states/eV per cell
ΔE_f (raw)	-0.69	eV per atom
ΔE to the lowest computed polymorph	0.017	eV/atom

=====

[2]
LaSc2InCo: optimized geometry, PBE.

a = 4.9789 Å, b = 4.9789 Å, c = 5.1100 Å
α = 90.00°, β = 90.00°, γ = 90.00°
Last column: nearest neighbours and their distance in Å.
Positions (direct):
La  0.0000  0.0000  0.0000  2 Co 2.55
Sc  0.0000  0.5000  0.5000  2 Co 2.49
Sc  0.5000  0.0000  0.5000  2 Co 2.49
In  0.5000  0.5000  0.0000  4 La 3.52, 8 Sc 3.57
Co  0.0000  0.0000  0.5000  4 Sc 2.49, 2 La 2.55

## Properties
density of states at the Fermi level	7.13	states/eV per cell
energy relative to the elements	-0.192	eV per atom
ΔE to the lowest computed polymorph	0.000	eV/atom

=====

[3]
Ce2SmSi: optimized geometry, PBE.

a = 10.3985 Å, b = 10.3985 Å, c = 10.3985 Å
α = 20.63°, β = 20.63°, γ = 20.63°
Last column: nearest neighbours and their distance in Å.
Positions (direct):
Ce  0.1064  0.1064  0.1064  3 Si 2.83
Ce  0.8936  0.8936  0.8936  3 Si 2.83
Sm  0.0000  0.0000  0.0000  2 Ce 3.25
Si  0.5000  0.5000  0.5000  6 Ce 2.83

## Properties
density of states at the Fermi level	9.37	states/eV per cell
ΔE_f (raw)	0.07	eV per atom
ΔE to the lowest computed polymorph	0.464	eV/atom

=====

[4]
LiTlCo2: optimized geometry, PBE.

a = 7.0529 Å, b = 7.0529 Å, c = 7.0529 Å
α = 153.34°, β = 153.34°, γ = 38.07°
Last column: nearest neighbours and their distance in Å.
Positions (direct):
Li  0.0000  0.0000  0.0000  4 Co 2.72
Tl  0.3405  0.3405  0.0000  4 Co 2.86, 4 Li 3.13
Co  0.1637  0.6637  0.5000  4 Co 2.30
Co  0.6637  0.1637  0.5000  4 Co 2.30

## Properties
density of states at the Fermi level	2.93	states/eV per cell
energy relative to the elements	0.345	eV per atom

=====

Number 1 is which compound? NaSeCl4